# 1
A relaxed KLi2 crystal. Source: Alexandria via LeMat-Bulk, functional PBE.

Output
As for the formation energy: 0.11 eV/atom. As for the total moment: 0.00 μB/cell. As for the crystal system: monoclinic. For the mass density, the calculation gives 0.81 g cm⁻³.

Lattice parameters (Å, degrees): 5.2220 6.3181 7.0713 90.00 111.37 90.00
Last column: nearest neighbours and their distance in Å.
Sites, in units of the cell vectors:
K (0.2237, 0.2500, 0.4447)  1 Li 3.50
K (0.7763, 0.7500, 0.5553)  1 Li 3.50
Li (0.0432, 0.7500, 0.0872)  6 Li 3.10-3.36
Li (0.5000, 0.0000, 0.0000)  6 Li 3.10-3.16
Li (0.5000, 0.5000, 0.0000)  6 Li 3.10-3.16
Li (0.9568, 0.2500, 0.9128)  6 Li 3.10-3.36

---

# 2
A relaxed KLi2 crystal. Source: Alexandria via LeMat-Bulk, functional PBE.

Output
As for the formation energy: 0.22 eV/atom. As for the total moment: 0.00 μB/cell. As for the crystal system: hexagonal. For the mass density, the calculation gives 0.79 g cm⁻³.

Lattice parameters (Å, degrees): 6.0207 6.0207 7.0708 90.00 90.00 120.00
Last column: nearest neighbours and their distance in Å.
Sites, in units of the cell vectors:
K (0.3333, 0.6667, 0.2500)  5 Li 3.48-3.54
K (0.6667, 0.3333, 0.7500)  5 Li 3.48-3.54
Li (0.0000, 0.0000, 0.0000)  8 Li 3.54-3.90, 6 K 3.90
Li (0.0000, 0.0000, 0.5000)  8 Li 3.54-3.90, 6 K 3.90
Li (0.3333, 0.6667, 0.7500)  5 K 3.48-3.54
Li (0.6667, 0.3333, 0.2500)  5 K 3.48-3.54

---

# 3
A relaxed KLi crystal. Source: Alexandria via LeMat-Bulk, functional PBE.

Output
As for the formation energy: 0.30 eV/atom. As for the total moment: 0.00 μB/cell. As for the crystal system: cubic. For the mass density, the calculation gives 0.50 g cm⁻³.

Lattice parameters (Å, degrees): 9.2422 9.2422 9.2422 109.47 109.47 109.47
Last column: nearest neighbours and their distance in Å.
Sites, in units of the cell vectors:
K (0.0000, 0.0000, 0.4253)  4 Li 3.56-3.73
K (0.0000, 0.4253, 0.0000)  4 Li 3.56-3.73
K (0.4253, 0.0000, 0.0000)  4 Li 3.56-3.73
K (0.5747, 0.5747, 0.5747)  4 Li 3.56-3.73
Li (0.0000, 0.0000, 0.8105)  3 Li 2.86
Li (0.0000, 0.8105, 0.0000)  3 Li 2.86
Li (0.1895, 0.1895, 0.1895)  3 Li 2.86
Li (0.8105, 0.0000, 0.0000)  3 Li 2.86

---

# 4
A relaxed KLi3 crystal. Source: Alexandria via LeMat-Bulk, functional PBE.

Output
As for the formation energy: 0.19 eV/atom. As for the total moment: 0.00 μB/cell. As for the crystal system: hexagonal. For the mass density, the calculation gives 0.79 g cm⁻³.

Lattice parameters (Å, degrees): 3.6410 3.6410 11.0351 90.00 90.00 120.00
Last column: nearest neighbours and their distance in Å.
Sites, in units of the cell vectors:
K (0.0000, 0.0000, 0.0000)  6 K 3.64, 6 Li 3.87
Li (0.0000, 0.0000, 0.5000)  6 Li 3.09
Li (0.6667, 0.3333, 0.2947)  3 Li 3.09
Li (0.6667, 0.3333, 0.7053)  3 Li 3.09

---

# 5
A relaxed KLi3 crystal. Source: Alexandria via LeMat-Bulk, functional PBE.

Output
As for the formation energy: 0.20 eV/atom. As for the total moment: 0.00 μB/cell. As for the crystal system: trigonal. For the mass density, the calculation gives 0.80 g cm⁻³.

Lattice parameters (Å, degrees): 6.5598 6.5598 6.5598 116.98 116.98 116.98
Last column: nearest neighbours and their distance in Å.
Sites, in units of the cell vectors:
K (0.0000, 0.0000, 0.0000)  6 Li 3.43, 2 K 3.46
Li (0.0000, 0.5000, 0.5000)  6 Li 3.43-3.46, 2 K 3.43
Li (0.5000, 0.0000, 0.5000)  2 K 3.43, 6 Li 3.43-3.46
Li (0.5000, 0.5000, 0.0000)  6 Li 3.43-3.46, 2 K 3.43

---

# 6
A relaxed KLi2 crystal. Source: Alexandria via LeMat-Bulk, functional PBE.

Output
As for the formation energy: 0.18 eV/atom. As for the total moment: 0.00 μB/cell. As for the crystal system: orthorhombic. For the mass density, the calculation gives 0.82 g cm⁻³.

Lattice parameters (Å, degrees): 9.4611 9.4611 6.2978 90.00 90.00 157.64
Last column: nearest neighbours and their distance in Å.
Sites, in units of the cell vectors:
K (0.1070, 0.8930, 0.7500)  2 K 3.67, 10 Li 3.70-3.80
K (0.8930, 0.1070, 0.2500)  2 K 3.67, 10 Li 3.70-3.80
Li (0.2144, 0.7856, 0.2500)  2 Li 3.21
Li (0.4278, 0.5722, 0.7500)  2 Li 3.21
Li (0.5722, 0.4278, 0.2500)  2 Li 3.21
Li (0.7856, 0.2144, 0.7500)  2 Li 3.21

---

# 7
A relaxed KLi2 crystal. Source: Alexandria via LeMat-Bulk, functional PBE.

Output
As for the formation energy: 0.11 eV/atom. As for the total moment: 0.00 μB/cell. As for the crystal system: monoclinic. For the mass density, the calculation gives 0.81 g cm⁻³.

Lattice parameters (Å, degrees): 6.2994 5.2606 7.1654 90.00 113.91 90.00
Last column: nearest neighbours and their distance in Å.
Sites, in units of the cell vectors:
K (0.2394, 0.2500, 0.0091)  6 Li 3.62-3.98, 2 K 3.96
K (0.7606, 0.7500, 0.9909)  6 Li 3.62-3.98, 2 K 3.96
Li (0.1367, 0.7500, 0.5485)  6 Li 3.07-3.24
Li (0.4145, 0.2500, 0.5565)  6 Li 3.07-3.24
Li (0.5855, 0.7500, 0.4435)  6 Li 3.07-3.24
Li (0.8633, 0.2500, 0.4515)  6 Li 3.07-3.24

---

# 8
A relaxed KLi crystal. Source: Alexandria via LeMat-Bulk, functional PBE.

Output
As for the formation energy: 0.17 eV/atom. As for the total moment: 0.00 μB/cell. As for the crystal system: orthorhombic. For the mass density, the calculation gives 0.84 g cm⁻³.

Lattice parameters (Å, degrees): 10.8179 9.8892 6.6062 79.23 63.90 36.86
Last column: nearest neighbours and their distance in Å.
Sites, in units of the cell vectors:
K (0.0420, 0.7080, 0.0420)  4 Li 3.70-4.02, 3 K 3.75-3.96
K (0.2920, 0.9580, 0.2920)  4 Li 3.70-4.02, 3 K 3.75-3.96
K (0.7080, 0.0420, 0.7080)  4 Li 3.70-4.02, 3 K 3.75-3.96
K (0.9580, 0.2920, 0.9580)  4 Li 3.70-4.02, 3 K 3.75-3.96
Li (0.2939, 0.2939, 0.4561)  1 Li 3.00
Li (0.4561, 0.4561, 0.2939)  1 Li 3.00
Li (0.5439, 0.5439, 0.7061)  1 Li 3.00
Li (0.7061, 0.7061, 0.5439)  1 Li 3.00

---

# 9
A relaxed KLi crystal. Source: Alexandria via LeMat-Bulk, functional PBE.

Output
As for the formation energy: 0.12 eV/atom. As for the total moment: 0.00 μB/cell. As for the crystal system: orthorhombic. For the mass density, the calculation gives 0.87 g cm⁻³.

Lattice parameters (Å, degrees): 7.3032 7.3032 6.8433 90.00 90.00 75.34
Last column: nearest neighbours and their distance in Å.
Sites, in units of the cell vectors:
K (0.0280, 0.3363, 0.2500)  8 Li 3.87-4.28, 3 K 4.14-4.21
K (0.3363, 0.0280, 0.7500)  8 Li 3.87-4.28, 3 K 4.14-4.21
K (0.6637, 0.9720, 0.2500)  8 Li 3.87-4.28, 3 K 4.14-4.21
K (0.9720, 0.6637, 0.7500)  8 Li 3.87-4.28, 3 K 4.14-4.21
Li (0.2106, 0.7894, 0.2500)  2 Li 3.10
Li (0.5000, 0.5000, 0.0000)  4 Li 3.10-3.42
Li (0.5000, 0.5000, 0.5000)  4 Li 3.10-3.42
Li (0.7894, 0.2106, 0.7500)  2 Li 3.10

---

# 10
A relaxed K5Li crystal. Source: Alexandria via LeMat-Bulk, functional PBE.

Output
As for the formation energy: 0.06 eV/atom. As for the total moment: 0.00 μB/cell. As for the crystal system: tetragonal. For the mass density, the calculation gives 0.89 g cm⁻³.

Lattice parameters (Å, degrees): 4.5527 4.5527 18.2884 90.00 90.00 90.00
Last column: nearest neighbours and their distance in Å.
Sites, in units of the cell vectors:
K (0.0000, 0.0000, 0.0000)  12 K 4.55-4.72
K (0.0000, 0.0000, 0.3775)  4 Li 3.92
K (0.0000, 0.0000, 0.6225)  4 Li 3.92
K (0.5000, 0.5000, 0.1891)  12 K 4.55-4.72
K (0.5000, 0.5000, 0.8109)  12 K 4.55-4.72
Li (0.5000, 0.5000, 0.5000)  8 K 3.92

---

# 11
A relaxed KLi3 crystal. Source: Alexandria via LeMat-Bulk, functional PBE.

Output
As for the formation energy: 0.19 eV/atom. As for the total moment: 0.00 μB/cell. As for the crystal system: cubic. For the mass density, the calculation gives 0.77 g cm⁻³.

Lattice parameters (Å, degrees): 5.0508 5.0508 5.0508 90.00 90.00 90.00
Last column: nearest neighbours and their distance in Å.
Sites, in units of the cell vectors:
K (0.0000, 0.0000, 0.0000)  12 Li 3.57
Li (0.0000, 0.5000, 0.5000)  4 K 3.57, 8 Li 3.57
Li (0.5000, 0.0000, 0.5000)  4 K 3.57, 8 Li 3.57
Li (0.5000, 0.5000, 0.0000)  4 K 3.57, 8 Li 3.57

---

# 12
A relaxed K3Li2 crystal. Source: Alexandria via LeMat-Bulk, functional PBE.

Output
As for the formation energy: 0.18 eV/atom. As for the total moment: 0.00 μB/cell. As for the crystal system: trigonal. For the mass density, the calculation gives 0.86 g cm⁻³.

Lattice parameters (Å, degrees): 15.9901 15.9901 15.9901 15.42 15.42 15.42
Last column: nearest neighbours and their distance in Å.
Sites, in units of the cell vectors:
K (0.0000, 0.0000, 0.0000)  6 Li 3.86, 6 K 4.29
K (0.2092, 0.2092, 0.2092)  3 Li 3.83
K (0.7908, 0.7908, 0.7908)  3 Li 3.83
Li (0.3959, 0.3959, 0.3959)  6 K 3.83-3.86
Li (0.6041, 0.6041, 0.6041)  6 K 3.83-3.86

---

What did the fifth record say?
A relaxed KLi3 crystal. Source: Alexandria via LeMat-Bulk, functional PBE.

Output
As for the formation energy: 0.20 eV/atom. As for the total moment: 0.00 μB/cell. As for the crystal system: trigonal. For the mass density, the calculation gives 0.80 g cm⁻³.

Lattice parameters (Å, degrees): 6.5598 6.5598 6.5598 116.98 116.98 116.98
Last column: nearest neighbours and their distance in Å.
Sites, in units of the cell vectors:
K (0.0000, 0.0000, 0.0000)  6 Li 3.43, 2 K 3.46
Li (0.0000, 0.5000, 0.5000)  6 Li 3.43-3.46, 2 K 3.43
Li (0.5000, 0.0000, 0.5000)  2 K 3.43, 6 Li 3.43-3.46
Li (0.5000, 0.5000, 0.0000)  6 Li 3.43-3.46, 2 K 3.43